(1)
Y4InOs: optimized geometry, PBE.

The structure in POSCAR format:
```
Y4InOs
1.0
6.029 0.223 -1.186
-2.173 7.097 -2.741
0.195 -0.278 7.905
Y In Os
8 2 2
Direct
0.887 0.647 0.797
0.049 0.940 0.277
0.613 0.203 0.353
0.451 0.723 0.060
0.549 0.277 0.940
0.387 0.797 0.647
0.951 0.060 0.723
0.113 0.353 0.203
0.750 0.626 0.374
0.250 0.374 0.626
0.250 0.999 0.001
0.750 0.001 0.999
```

## Properties
distance to the lowest polymorph of the same formula: 0 meV per atom
magnetization: 0.00 μB/f.u.



(2)
Y3InOs: optimized geometry, PBE.

The structure in POSCAR format:
```
Y3InOs
1.0
-0.019 3.665 -3.911
-4.483 2.134 2.021
2.939 3.278 3.058
Y Os In
3 1 1
Direct
0.000 0.500 0.000
0.000 0.000 0.500
0.500 0.000 0.000
0.000 0.000 0.000
0.500 0.500 0.500
```

## Properties
distance to the lowest polymorph of the same formula: 256 meV per atom
magnetization: 0.00 μB/f.u.